[1]
Na7MgCd3: optimized geometry, GGA-PBE.

abc: 8.3393 8.3393 6.0313
angles: 90.00 90.00 120.00
Space group P3m1 (No. 156)
Inequivalent atoms, fractional coordinates:
Na (0.0000, 0.0000, 0.0000) [1 per cell]
Na (0.0616, 0.5308, 0.0727) [3 per cell]
Na (0.1702, 0.3405, 0.5355) [3 per cell]
Mg (0.6667, 0.3333, 0.3341) [1 per cell]
Cd (0.4249, 0.2124, 0.7628) [3 per cell]

Calculated values
The calculation puts the formation energy at 54.2 meV per atom. The total magnetization is 0.0 μB/f.u.

=====

[2]
Na2MgCd: optimized geometry, GGA-PBE.

abc: 3.806 3.806 7.582
angles: 90.00 90.00 90.00
Space group P4/mmm (No. 123)
Inequivalent atoms, fractional coordinates:
Na (0.000, 0.000, 0.239) [2 per cell]
Mg (0.500, 0.500, 0.500) [1 per cell]
Cd (0.500, 0.500, 0.000) [1 per cell]

Calculated values
The calculation puts the formation energy at 39.0 meV per atom. The total magnetization is 0.0 μB/f.u.

=====

[3]
NaMgCd: optimized geometry, GGA-PBE.

abc: 3.498 3.498 12.634
angles: 90.00 90.00 90.00
Space group I4mm (No. 107)
Inequivalent atoms, fractional coordinates:
Na (0.000, 0.000, 0.000) [2 per cell]
Mg (0.000, 0.000, 0.307) [2 per cell]
Cd (0.000, 0.000, 0.671) [2 per cell]

Calculated values
The calculation puts the formation energy at -14.0 meV per atom. The total magnetization is 0.0 μB/f.u.

=====

[4]
NaMgCd5: optimized geometry, GGA-PBE.

abc: 5.986 9.161 6.333
angles: 90.00 90.00 90.00
Space group Cmmm (No. 65)
Inequivalent atoms, fractional coordinates:
Na (0.000, 0.000, 0.000) [2 per cell]
Mg (0.000, 0.500, 0.500) [2 per cell]
Cd (0.000, 0.000, 0.500) [2 per cell]
Cd (0.250, 0.250, 0.247) [8 per cell]

Calculated values
The calculation puts the formation energy at -14.5 meV per atom. The total magnetization is 0.0 μB/f.u.